A relaxed Sn3TeCl crystal. Source: Alexandria via LeMat-Bulk, functional PBE-GGA.

Values from the calculation:
Symmetry ... Pm-3m, No. 221
ΔE_f (raw) ... 0.396 eV/atom
Offset from the most stable computed form ... 0.0 meV per atom

Cell: 5.4817 5.4817 5.4817 Å, 90.00 90.00 90.00°
With the nearest neighbours (Å) after each atom.
Positions (direct):
Sn  0.0000  0.0000  0.5000  2 Cl 2.74
Sn  0.0000  0.5000  0.0000  2 Cl 2.74
Sn  0.5000  0.0000  0.0000  2 Cl 2.74
Te  0.5000  0.5000  0.5000  12 Sn 3.88
Cl  0.0000  0.0000  0.0000  6 Sn 2.74